MgMn3Ru | PBE | relaxed

The structure in POSCAR format:
```
MgMn3Ru
1.0
-4.524 0.142 -1.458
0.187 -4.638 -1.032
-1.453 -1.039 4.407
Mn Mg Ru
3 1 1
Cartesian
0.093 -2.319 -0.516
-2.262 0.071 -0.729
-0.727 -0.519 2.204
-2.895 -2.767 0.959
0.000 0.000 0.000
```

ΔE_f	0.9642	eV/atom
relative energy among the computed polymorphs	0.000	eV/atom